# 1
Density functional theory data (GGA-PBE) for crystalline CeSb2S5 at its relaxed geometry.

CIF file:
```
data_CeSb2S5
_chemical_formula_sum 'Ce2 Sb4 S10'
_cell_length_a 7.054
_cell_length_b 7.054
_cell_length_c 13.436
_cell_angle_alpha 90.00
_cell_angle_beta 90.00
_cell_angle_gamma 135.24
_symmetry_space_group_name_H-M 'P 1'
_symmetry_Int_Tables_number 1
loop_
_symmetry_equiv_pos_as_xyz
'x,y,z'
loop_
_atom_site_label
_atom_site_fract_x
_atom_site_fract_y
_atom_site_fract_z
Ce1 0.210 0.790 0.750
Ce2 0.790 0.210 0.250
Sb1 0.146 0.854 0.042
Sb2 0.146 0.854 0.458
Sb3 0.854 0.146 0.542
Sb4 0.854 0.146 0.958
S1 0.052 0.948 0.621
S2 0.052 0.948 0.879
S3 0.241 0.759 0.250
S4 0.319 0.681 0.568
S5 0.319 0.681 0.932
S6 0.681 0.319 0.068
S7 0.681 0.319 0.432
S8 0.759 0.241 0.750
S9 0.948 0.052 0.121
S10 0.948 0.052 0.379
```

Values from the calculation:
As for the space-group type: Cmcm (63). As for the crystal system: orthorhombic. The uncorrected formation energy comes out at -0.7587 eV/atom.

***

# 2
Density functional theory data (GGA-PBE) for crystalline Ce6SbS5 at its relaxed geometry.

CIF file:
```
data_Ce6SbS5
_chemical_formula_sum 'Ce6 Sb1 S5'
_cell_length_a 7.113
_cell_length_b 7.113
_cell_length_c 7.122
_cell_angle_alpha 99.64
_cell_angle_beta 99.64
_cell_angle_gamma 120.03
_symmetry_space_group_name_H-M 'P 1'
_symmetry_Int_Tables_number 1
loop_
_symmetry_equiv_pos_as_xyz
'x,y,z'
loop_
_atom_site_label
_atom_site_fract_x
_atom_site_fract_y
_atom_site_fract_z
Ce1 0.062 0.412 0.738
Ce2 0.236 0.236 0.259
Ce3 0.412 0.062 0.738
Ce4 0.588 0.938 0.262
Ce5 0.764 0.764 0.741
Ce6 0.938 0.588 0.262
Sb1 0.500 0.500 0.000
S1 0.000 0.000 0.500
S2 0.167 0.833 0.000
S3 0.341 0.659 0.500
S4 0.659 0.341 0.500
S5 0.833 0.167 0.000
```

Values from the calculation:
As for the space-group type: C2/m (12). As for the crystal system: monoclinic. The uncorrected formation energy comes out at -1.8309 eV/atom.

***

# 3
Density functional theory data (GGA-PBE) for crystalline Ce4Sb5S at its relaxed geometry.

CIF file:
```
data_Ce4Sb5S
_chemical_formula_sum 'Ce4 Sb5 S1'
_cell_length_a 9.129
_cell_length_b 9.129
_cell_length_c 8.095
_cell_angle_alpha 110.37
_cell_angle_beta 110.37
_cell_angle_gamma 28.27
_symmetry_space_group_name_H-M 'P 1'
_symmetry_Int_Tables_number 1
loop_
_symmetry_equiv_pos_as_xyz
'x,y,z'
loop_
_atom_site_label
_atom_site_fract_x
_atom_site_fract_y
_atom_site_fract_z
Ce1 0.041 0.041 0.252
Ce2 0.348 0.348 0.049
Ce3 0.652 0.652 0.951
Ce4 0.959 0.959 0.748
Sb1 0.146 0.146 0.663
Sb2 0.213 0.213 0.240
Sb3 0.500 0.500 0.500
Sb4 0.787 0.787 0.760
Sb5 0.854 0.854 0.337
S1 0.500 0.500 0.000
```

Values from the calculation:
As for the space-group type: C2/m (12). As for the crystal system: monoclinic. The uncorrected formation energy comes out at -0.8557 eV/atom.

***

# 4
Density functional theory data (GGA-PBE) for crystalline CeSbS2 at its relaxed geometry.

CIF file:
```
data_CeSbS2
_chemical_formula_sum 'Ce1 Sb1 S2'
_cell_length_a 8.920
_cell_length_b 8.920
_cell_length_c 8.920
_cell_angle_alpha 25.60
_cell_angle_beta 25.60
_cell_angle_gamma 25.60
_symmetry_space_group_name_H-M 'P 1'
_symmetry_Int_Tables_number 1
loop_
_symmetry_equiv_pos_as_xyz
'x,y,z'
loop_
_atom_site_label
_atom_site_fract_x
_atom_site_fract_y
_atom_site_fract_z
Ce1 0.000 0.000 0.000
Sb1 0.500 0.500 0.500
S1 0.108 0.108 0.108
S2 0.892 0.892 0.892
```

Values from the calculation:
As for the space-group type: R-3m (166). As for the crystal system: trigonal. The uncorrected formation energy comes out at -0.3280 eV/atom.

***

# 5
Density functional theory data (GGA-PBE) for crystalline Ce2SbS at its relaxed geometry.

CIF file:
```
data_Ce2SbS
_chemical_formula_sum 'Ce2 Sb1 S1'
_cell_length_a 7.974
_cell_length_b 7.974
_cell_length_c 7.974
_cell_angle_alpha 30.10
_cell_angle_beta 30.10
_cell_angle_gamma 30.10
_symmetry_space_group_name_H-M 'P 1'
_symmetry_Int_Tables_number 1
loop_
_symmetry_equiv_pos_as_xyz
'x,y,z'
loop_
_atom_site_label
_atom_site_fract_x
_atom_site_fract_y
_atom_site_fract_z
Ce1 0.000 0.000 0.000
Ce2 0.158 0.158 0.158
Sb1 0.580 0.580 0.580
S1 0.410 0.410 0.410
```

Values from the calculation:
As for the space-group type: R3m (160). The relative energy among the computed polymorphs is 179 meV/atom. As for the crystal system: trigonal. The uncorrected formation energy comes out at -1.3194 eV/atom.

***

# 6
Density functional theory data (GGA-PBE) for crystalline Ce5Sb4S at its relaxed geometry.

CIF file:
```
data_Ce5Sb4S
_chemical_formula_sum 'Ce5 Sb4 S1'
_cell_length_a 7.642
_cell_length_b 7.642
_cell_length_c 7.642
_cell_angle_alpha 99.69
_cell_angle_beta 99.69
_cell_angle_gamma 131.56
_symmetry_space_group_name_H-M 'P 1'
_symmetry_Int_Tables_number 1
loop_
_symmetry_equiv_pos_as_xyz
'x,y,z'
loop_
_atom_site_label
_atom_site_fract_x
_atom_site_fract_y
_atom_site_fract_z
Ce1 0.000 0.000 0.000
Ce2 0.216 0.402 0.618
Ce3 0.402 0.784 0.187
Ce4 0.598 0.216 0.813
Ce5 0.784 0.598 0.382
Sb1 0.094 0.697 0.791
Sb2 0.303 0.094 0.397
Sb3 0.697 0.906 0.603
Sb4 0.906 0.303 0.209
S1 0.500 0.500 0.000
```

Values from the calculation:
As for the space-group type: I4/m (87). As for the crystal system: tetragonal. The uncorrected formation energy comes out at -1.1998 eV/atom.

***

# 7
Density functional theory data (GGA-PBE) for crystalline Ce2SbS at its relaxed geometry.

CIF file:
```
data_Ce2SbS
_chemical_formula_sum 'Ce2 Sb1 S1'
_cell_length_a 7.428
_cell_length_b 7.428
_cell_length_c 7.428
_cell_angle_alpha 33.12
_cell_angle_beta 33.12
_cell_angle_gamma 33.12
_symmetry_space_group_name_H-M 'P 1'
_symmetry_Int_Tables_number 1
loop_
_symmetry_equiv_pos_as_xyz
'x,y,z'
loop_
_atom_site_label
_atom_site_fract_x
_atom_site_fract_y
_atom_site_fract_z
Ce1 0.240 0.240 0.240
Ce2 0.760 0.760 0.760
Sb1 0.000 0.000 0.000
S1 0.500 0.500 0.500
```

Values from the calculation:
As for the space-group type: R-3m (166). The relative energy among the computed polymorphs is 0 meV/atom. As for the crystal system: trigonal. The uncorrected formation energy comes out at -1.4981 eV/atom.

***

# 8
Density functional theory data (GGA-PBE) for crystalline Ce3SbS3 at its relaxed geometry.

CIF file:
```
data_Ce3SbS3
_chemical_formula_sum 'Ce6 Sb2 S6'
_cell_length_a 8.730
_cell_length_b 8.730
_cell_length_c 8.730
_cell_angle_alpha 55.53
_cell_angle_beta 55.53
_cell_angle_gamma 55.53
_symmetry_space_group_name_H-M 'P 1'
_symmetry_Int_Tables_number 1
loop_
_symmetry_equiv_pos_as_xyz
'x,y,z'
loop_
_atom_site_label
_atom_site_fract_x
_atom_site_fract_y
_atom_site_fract_z
Ce1 0.027 0.414 0.782
Ce2 0.218 0.973 0.586
Ce3 0.414 0.782 0.027
Ce4 0.586 0.218 0.973
Ce5 0.782 0.027 0.414
Ce6 0.973 0.586 0.218
Sb1 0.166 0.166 0.166
Sb2 0.834 0.834 0.834
S1 0.109 0.673 0.375
S2 0.327 0.625 0.891
S3 0.375 0.109 0.673
S4 0.625 0.891 0.327
S5 0.673 0.375 0.109
S6 0.891 0.327 0.625
```

Values from the calculation:
As for the space-group type: R-3 (148). As for the crystal system: trigonal. The uncorrected formation energy comes out at -1.6170 eV/atom.

***

# 9
Density functional theory data (GGA-PBE) for crystalline Ce2SbS at its relaxed geometry.

CIF file:
```
data_Ce2SbS
_chemical_formula_sum 'Ce4 Sb2 S2'
_cell_length_a 7.538
_cell_length_b 7.538
_cell_length_c 7.458
_cell_angle_alpha 90.00
_cell_angle_beta 90.00
_cell_angle_gamma 150.00
_symmetry_space_group_name_H-M 'P 1'
_symmetry_Int_Tables_number 1
loop_
_symmetry_equiv_pos_as_xyz
'x,y,z'
loop_
_atom_site_label
_atom_site_fract_x
_atom_site_fract_y
_atom_site_fract_z
Ce1 0.129 0.871 0.520
Ce2 0.129 0.871 0.980
Ce3 0.871 0.129 0.020
Ce4 0.871 0.129 0.480
Sb1 0.483 0.517 0.750
Sb2 0.517 0.483 0.250
S1 0.269 0.731 0.250
S2 0.731 0.269 0.750
```

Values from the calculation:
As for the space-group type: Cmcm (63). The relative energy among the computed polymorphs is 199 meV/atom. As for the crystal system: orthorhombic. The uncorrected formation energy comes out at -1.2990 eV/atom.

***

# 10
Density functional theory data (GGA-PBE) for crystalline CeSbS at its relaxed geometry.

CIF file:
```
data_CeSbS
_chemical_formula_sum 'Ce2 Sb2 S2'
_cell_length_a 9.192
_cell_length_b 9.192
_cell_length_c 9.192
_cell_angle_alpha 153.89
_cell_angle_beta 153.89
_cell_angle_gamma 37.26
_symmetry_space_group_name_H-M 'P 1'
_symmetry_Int_Tables_number 1
loop_
_symmetry_equiv_pos_as_xyz
'x,y,z'
loop_
_atom_site_label
_atom_site_fract_x
_atom_site_fract_y
_atom_site_fract_z
Ce1 0.154 0.154 0.000
Ce2 0.846 0.846 0.000
Sb1 0.000 0.500 0.500
Sb2 0.500 0.000 0.500
S1 0.315 0.315 0.000
S2 0.685 0.685 0.000
```

Values from the calculation:
As for the space-group type: I4/mmm (139). As for the crystal system: tetragonal. The uncorrected formation energy comes out at -1.4138 eV/atom.

***

# 11
Density functional theory data (GGA-PBE) for crystalline Ce5SbS4 at its relaxed geometry.

CIF file:
```
data_Ce5SbS4
_chemical_formula_sum 'Ce5 Sb1 S4'
_cell_length_a 10.918
_cell_length_b 10.918
_cell_length_c 10.918
_cell_angle_alpha 158.33
_cell_angle_beta 148.81
_cell_angle_gamma 38.30
_symmetry_space_group_name_H-M 'P 1'
_symmetry_Int_Tables_number 1
loop_
_symmetry_equiv_pos_as_xyz
'x,y,z'
loop_
_atom_site_label
_atom_site_fract_x
_atom_site_fract_y
_atom_site_fract_z
Ce1 0.000 0.000 0.000
Ce2 0.199 0.199 0.000
Ce3 0.389 0.389 0.000
Ce4 0.611 0.611 0.000
Ce5 0.801 0.801 0.000
Sb1 0.500 0.000 0.500
S1 0.101 0.601 0.500
S2 0.295 0.795 0.500
S3 0.705 0.205 0.500
S4 0.899 0.399 0.500
```

Values from the calculation:
As for the space-group type: Immm (71). As for the crystal system: orthorhombic. The uncorrected formation energy comes out at -1.7797 eV/atom.

***

# 12
Density functional theory data (GGA-PBE) for crystalline Ce4SbSe2S at its relaxed geometry.

CIF file:
```
data_Ce4SbSe2S
_chemical_formula_sum 'Ce8 Sb2 Se4 S2'
_cell_length_a 8.484
_cell_length_b 8.484
_cell_length_c 8.484
_cell_angle_alpha 120.11
_cell_angle_beta 119.93
_cell_angle_gamma 89.96
_symmetry_space_group_name_H-M 'P 1'
_symmetry_Int_Tables_number 1
loop_
_symmetry_equiv_pos_as_xyz
'x,y,z'
loop_
_atom_site_label
_atom_site_fract_x
_atom_site_fract_y
_atom_site_fract_z
Ce1 0.255 0.244 0.011
Ce2 0.256 0.243 0.487
Ce3 0.256 0.769 0.013
Ce4 0.267 0.756 0.511
Ce5 0.733 0.244 0.489
Ce6 0.744 0.231 0.987
Ce7 0.744 0.757 0.513
Ce8 0.745 0.756 0.989
Sb1 0.000 0.500 0.500
Sb2 0.500 0.500 0.000
Se1 0.000 0.000 0.000
Se2 0.000 0.000 0.500
Se3 0.000 0.500 0.000
Se4 0.500 0.000 0.500
S1 0.500 0.000 0.000
S2 0.500 0.500 0.500
```

Values from the calculation:
As for the space-group type: Imma (74). As for the crystal system: orthorhombic. The uncorrected formation energy comes out at -1.6387 eV/atom.